No. 1
First-principles (GGA-PBE) data for a geometry-optimized Cs2SbPb2S6 structure, as listed in Alexandria via LeMat-Bulk.

Lattice parameters (Å, degrees): 7.038 7.038 8.654 98.90 98.90 118.51
Positions (direct):
1 Cs 0.179 0.821 0.000
2 Cs 0.821 0.179 0.000
3 Sb 0.000 0.000 0.500
4 Pb 0.332 0.668 0.500
5 Pb 0.668 0.332 0.500
6 S 0.068 0.360 0.683
7 S 0.219 0.219 0.319
8 S 0.360 0.068 0.683
9 S 0.640 0.932 0.317
10 S 0.781 0.781 0.681
11 S 0.932 0.640 0.317

Computed properties:
- Formation energy without anion corrections: -0.542 eV per atom
- Density: 4.60 g/cm³
- Volume: 32.6 Å³/atom



No. 2
First-principles (GGA-PBE) data for a geometry-optimized Cs2SbPbS4 structure, as listed in Alexandria via LeMat-Bulk.

Lattice parameters (Å, degrees): 14.770 13.192 8.241 83.71 62.60 33.68
Positions (direct):
1 Cs 0.057 0.057 0.693
2 Cs 0.307 0.307 0.943
3 Cs 0.693 0.693 0.057
4 Cs 0.943 0.943 0.307
5 Sb 0.375 0.375 0.375
6 Sb 0.625 0.625 0.625
7 Pb 0.125 0.125 0.125
8 Pb 0.875 0.875 0.875
9 S 0.005 0.641 0.537
10 S 0.317 0.537 0.641
11 S 0.359 0.995 0.683
12 S 0.463 0.683 0.995
13 S 0.537 0.317 0.005
14 S 0.641 0.005 0.317
15 S 0.683 0.463 0.359
16 S 0.995 0.359 0.463

Computed properties:
- Formation energy without anion corrections: -0.554 eV per atom
- Density: 3.65 g/cm³
- Volume: 41.1 Å³/atom



No. 3
First-principles (GGA-PBE) data for a geometry-optimized Cs3Sm2PbS6 structure, as listed in Alexandria via LeMat-Bulk.

Lattice parameters (Å, degrees): 7.313 7.313 8.436 98.29 98.29 120.01
Positions (direct):
1 Cs 0.000 0.000 0.000
2 Cs 0.336 0.664 0.000
3 Cs 0.664 0.336 0.000
4 Sm 0.167 0.833 0.500
5 Sm 0.833 0.167 0.500
6 Pb 0.500 0.500 0.500
7 S 0.096 0.438 0.313
8 S 0.221 0.221 0.687
9 S 0.438 0.096 0.313
10 S 0.562 0.904 0.687
11 S 0.779 0.779 0.313
12 S 0.904 0.562 0.687

Computed properties:
- Formation energy without anion corrections: -1.406 eV per atom
- Density: 4.88 g/cm³
- Volume: 31.2 Å³/atom



No. 4
First-principles (GGA-PBE) data for a geometry-optimized Cs2Sn2PbS4 structure, as listed in Alexandria via LeMat-Bulk.

Lattice parameters (Å, degrees): 9.338 9.338 8.887 117.16 117.16 25.79
Positions (direct):
1 Cs 0.119 0.119 0.037
2 Cs 0.881 0.881 0.963
3 Sn 0.310 0.310 0.456
4 Sn 0.690 0.690 0.544
5 Pb 0.000 0.000 0.500
6 S 0.183 0.183 0.730
7 S 0.458 0.458 0.698
8 S 0.542 0.542 0.302
9 S 0.817 0.817 0.270

Computed properties:
- Formation energy without anion corrections: -0.734 eV per atom
- Density: 4.68 g/cm³
- Volume: 33.1 Å³/atom



What did the fourth record say?
First-principles (GGA-PBE) data for a geometry-optimized Cs2Sn2PbS4 structure, as listed in Alexandria via LeMat-Bulk.

Lattice parameters (Å, degrees): 9.338 9.338 8.887 117.16 117.16 25.79
Positions (direct):
1 Cs 0.119 0.119 0.037
2 Cs 0.881 0.881 0.963
3 Sn 0.310 0.310 0.456
4 Sn 0.690 0.690 0.544
5 Pb 0.000 0.000 0.500
6 S 0.183 0.183 0.730
7 S 0.458 0.458 0.698
8 S 0.542 0.542 0.302
9 S 0.817 0.817 0.270

Computed properties:
- Formation energy without anion corrections: -0.734 eV per atom
- Density: 4.68 g/cm³
- Volume: 33.1 Å³/atom